Here is an optimized crystal structure of NaTl4Pb3 from Alexandria via LeMat-Bulk. Energies are from GGA-PBE.

Formation energy in eV/f.u.: -0.4
Excess energy over the best structure of this formula in the dataset in meV per atom: 0.0

a b c (Å): 6.047 6.961 7.001
angles (deg): 61.09 72.23 89.78
Space group P-1 (No. 2)
Symmetry-distinct sites (fractional):
1 Na 0.000 0.000 0.000 [1 per cell]
2 Tl 0.000 0.000 0.500 [1 per cell]
3 Tl 0.000 0.500 0.500 [1 per cell]
4 Tl 0.497 0.246 0.508 [2 per cell]
5 Pb 0.000 0.500 0.000 [1 per cell]
6 Pb 0.499 0.255 0.998 [2 per cell]

***

Here is an optimized crystal structure of Na2TlPb4 from Alexandria via LeMat-Bulk. Energies are from GGA-PBE.

Formation energy in eV/f.u.: 0.0
Excess energy over the best structure of this formula in the dataset in meV per atom: 56.1

a b c (Å): 12.842 6.626 10.907
angles (deg): 90.00 90.00 90.00
Space group Cmce (No. 64)
Symmetry-distinct sites (fractional):
1 Na 0.146 0.000 0.000 [8 per cell]
2 Tl 0.000 0.000 0.500 [4 per cell]
3 Pb 0.000 0.248 0.250 [8 per cell]
4 Pb 0.250 0.248 0.750 [8 per cell]

***

Here is an optimized crystal structure of Na6Tl4Pb from Alexandria via LeMat-Bulk. Energies are from GGA-PBE.

Formation energy in eV/f.u.: 0.1

a b c (Å): 8.6751 8.6751 5.4025
angles (deg): 90.00 90.00 120.00
Space group P-6 (No. 174)
Symmetry-distinct sites (fractional):
1 Na 0.1276 0.4156 0.0000 [3 per cell]
2 Na 0.2724 0.0868 0.5000 [3 per cell]
3 Tl 0.0977 0.6217 0.5000 [3 per cell]
4 Tl 0.6667 0.3333 0.0000 [1 per cell]
5 Pb 0.0000 0.0000 0.0000 [1 per cell]

***

Here is an optimized crystal structure of Na2Tl3Pb4 from Alexandria via LeMat-Bulk. Energies are from GGA-PBE.

Formation energy in eV/f.u.: -0.8
Excess energy over the best structure of this formula in the dataset in meV per atom: 0.0

a b c (Å): 11.229 5.004 10.352
angles (deg): 90.00 112.53 90.00
Space group C2/m (No. 12)
Symmetry-distinct sites (fractional):
1 Na 0.164 0.000 0.222 [4 per cell]
2 Tl 0.000 0.500 0.000 [2 per cell]
3 Tl 0.168 0.000 0.559 [4 per cell]
4 Pb 0.003 0.500 0.666 [4 per cell]
5 Pb 0.166 0.000 0.888 [4 per cell]

***

Here is an optimized crystal structure of Na2TlPb4 from Alexandria via LeMat-Bulk. Energies are from GGA-PBE.

Formation energy in eV/f.u.: -0.4
Excess energy over the best structure of this formula in the dataset in meV per atom: 0.0

a b c (Å): 6.523 11.329 6.531
angles (deg): 90.00 117.67 90.00
Space group C2/m (No. 12)
Symmetry-distinct sites (fractional):
1 Na 0.000 0.247 0.000 [4 per cell]
2 Tl 0.000 0.000 0.500 [2 per cell]
3 Pb 0.000 0.301 0.500 [4 per cell]
4 Pb 0.203 0.500 0.910 [4 per cell]

***

Here is an optimized crystal structure of Na2Tl6Pb from Alexandria via LeMat-Bulk. Energies are from GGA-PBE.

Formation energy in eV/f.u.: -0.4
Excess energy over the best structure of this formula in the dataset in meV per atom: 13.7

a b c (Å): 16.507 3.414 11.684
angles (deg): 90.00 124.32 90.00
Space group C2/m (No. 12)
Symmetry-distinct sites (fractional):
1 Na 0.162 0.000 0.304 [4 per cell]
2 Tl 0.050 0.500 0.754 [4 per cell]
3 Tl 0.116 0.000 0.552 [4 per cell]
4 Tl 0.232 0.500 0.109 [4 per cell]
5 Pb 0.000 0.500 0.000 [2 per cell]

***

no.,total energy (eV/atom)
1,-2.783
2,-2.833
3,-1.905
4,-2.817
5,-2.889
6,-2.324